[1]
## LaSc2Be2 (PBE-GGA)

Data for a relaxed LaSc2Be2 crystal.

a = 8.023 Å, b = 8.023 Å, c = 3.037 Å
α = 90.00°, β = 90.00°, γ = 90.00°
Space group P4/mbm (No. 127)
Symmetry-distinct sites (fractional):
La 0.000 0.000 0.000 (multiplicity 2)
Sc 0.129 0.371 0.000 (multiplicity 4)
Be 0.168 0.668 0.500 (multiplicity 4)

Calculated values
formation energy from the elements: 0.156 eV per atom
total magnetization: 0.00 μB per formula unit
energy: -4.85 eV per atom
relative energy among the computed polymorphs: 0.0 meV per atom



[2]
## EuYMgIn (PBE-GGA)

Data for a relaxed EuYMgIn crystal.

a = 7.712 Å, b = 7.712 Å, c = 7.712 Å
α = 90.00°, β = 90.00°, γ = 90.00°
Space group F-43m (No. 216)
Symmetry-distinct sites (fractional):
Eu 0.000 0.000 0.000 (multiplicity 4)
Y 0.000 0.000 0.500 (multiplicity 4)
Mg 0.250 0.250 0.750 (multiplicity 4)
In 0.250 0.250 0.250 (multiplicity 4)

Calculated values
formation energy from the elements: -0.307 eV per atom
total magnetization: 7.36 μB per formula unit
energy: -5.57 eV per atom



[3]
## K2AgGe3Pt4 (PBE-GGA)

Data for a relaxed K2AgGe3Pt4 crystal.

a = 4.470 Å, b = 4.470 Å, c = 10.391 Å
α = 90.00°, β = 90.00°, γ = 90.00°
Space group P-4m2 (No. 115)
Symmetry-distinct sites (fractional):
K 0.000 0.500 0.247 (multiplicity 2)
Ag 0.500 0.500 0.000 (multiplicity 1)
Ge 0.000 0.000 0.000 (multiplicity 1)
Ge 0.000 0.500 0.619 (multiplicity 2)
Pt 0.000 0.000 0.500 (multiplicity 1)
Pt 0.000 0.500 0.857 (multiplicity 2)
Pt 0.500 0.500 0.500 (multiplicity 1)

Calculated values
formation energy from the elements: -0.330 eV per atom
total magnetization: 0.00 μB per formula unit
energy: -4.64 eV per atom



[4]
## FeH2W (PBE-GGA)

Data for a relaxed FeH2W crystal.

a = 4.028 Å, b = 4.028 Å, c = 8.109 Å
α = 90.00°, β = 90.00°, γ = 90.00°
Space group I-42d (No. 122)
Symmetry-distinct sites (fractional):
Fe 0.000 0.000 0.000 (multiplicity 4)
H 0.203 0.250 0.125 (multiplicity 8)
W 0.000 0.000 0.500 (multiplicity 4)

Calculated values
total magnetization: 1.28 μB per formula unit
energy: -6.82 eV per atom
relative energy among the computed polymorphs: 4.7 meV per atom